La12YTl4O3: optimized geometry, GGA-PBE.

The calculation puts the density of states at the Fermi level at 22.32 states/eV per cell. Its space-group type is Im-3m (229). The uncorrected formation energy is -16.45 eV/f.u.

abc: 9.0608 9.0608 9.0608
angles: 109.47 109.47 109.47
Last column: nearest neighbours and their distance in Å.
Element x y z (fractional)
La (0.0000, 0.2727, 0.2727)  1 O 2.38
La (0.0000, 0.7273, 0.7273)  1 O 2.38
La (0.2500, 0.5000, 0.7500)  2 O 2.62
La (0.2500, 0.7500, 0.5000)  2 O 2.62
La (0.2727, 0.0000, 0.2727)  1 O 2.38
La (0.2727, 0.2727, 0.0000)  1 O 2.38
La (0.5000, 0.2500, 0.7500)  2 O 2.62
La (0.5000, 0.7500, 0.2500)  2 O 2.62
La (0.7273, 0.0000, 0.7273)  1 O 2.38
La (0.7273, 0.7273, 0.0000)  1 O 2.38
La (0.7500, 0.2500, 0.5000)  2 O 2.62
La (0.7500, 0.5000, 0.2500)  2 O 2.62
Y (0.0000, 0.0000, 0.0000)  6 La 2.85
Tl (0.0000, 0.0000, 0.5000)  12 La 3.70-3.71
Tl (0.0000, 0.5000, 0.0000)  12 La 3.70-3.71
Tl (0.5000, 0.0000, 0.0000)  12 La 3.70-3.71
Tl (0.5000, 0.5000, 0.5000)  12 La 3.70-3.71
O (0.0000, 0.5000, 0.5000)  6 La 2.38-2.62
O (0.5000, 0.0000, 0.5000)  6 La 2.38-2.62
O (0.5000, 0.5000, 0.0000)  6 La 2.38-2.62


LaY2TlO: optimized geometry, GGA-PBE.

The calculation puts the density of states at the Fermi level at 2.43 states/eV per cell. Its space-group type is P4/mmm (123). The uncorrected formation energy is -6.71 eV/f.u.

abc: 4.8524 4.8524 5.0428
angles: 90.00 90.00 90.00
Last column: nearest neighbours and their distance in Å.
Element x y z (fractional)
La (0.0000, 0.0000, 0.0000)  2 O 2.52
Y (0.0000, 0.5000, 0.5000)  2 O 2.43
Y (0.5000, 0.0000, 0.5000)  2 O 2.43
Tl (0.5000, 0.5000, 0.0000)  4 La 3.43, 8 Y 3.50
O (0.0000, 0.0000, 0.5000)  4 Y 2.43, 2 La 2.52


La4TlZnO: optimized geometry, GGA-PBE.

The calculation puts the density of states at the Fermi level at 15.44 states/eV per cell. Its space-group type is Cmcm (63). The uncorrected formation energy is -6.70 eV/f.u.

abc: 8.8678 8.8678 7.0558
angles: 90.00 90.00 133.35
Last column: nearest neighbours and their distance in Å.
Element x y z (fractional)
La (0.0000, 0.5000, 0.0000)  2 O 2.49
La (0.0000, 0.5000, 0.5000)  2 O 2.49
La (0.0697, 0.9303, 0.7500)  1 O 2.89, 1 Zn 3.13
La (0.4177, 0.5823, 0.7500)  1 O 2.78
La (0.5000, 0.0000, 0.0000)  2 O 2.49
La (0.5000, 0.0000, 0.5000)  2 O 2.49
La (0.5823, 0.4177, 0.2500)  1 O 2.78
La (0.9303, 0.0697, 0.2500)  1 O 2.89, 1 Zn 3.13
Tl (0.3886, 0.6114, 0.2500)  5 La 3.15-3.36
Tl (0.6114, 0.3886, 0.7500)  5 La 3.15-3.36
Zn (0.1224, 0.8776, 0.2500)  5 La 3.13-3.24
Zn (0.8776, 0.1224, 0.7500)  5 La 3.13-3.24
O (0.2473, 0.7527, 0.7500)  5 La 2.49-2.78
O (0.7527, 0.2473, 0.2500)  5 La 2.49-2.78


La2TlZnO5: optimized geometry, GGA-PBE.

The calculation puts the density of states at the Fermi level at 5.69 states/eV per cell. Its space-group type is P4/mbm (127). The uncorrected formation energy is -19.46 eV/f.u.

abc: 6.9891 6.9891 5.8804
angles: 90.00 90.00 90.00
Last column: nearest neighbours and their distance in Å.
Element x y z (fractional)
La (0.1781, 0.3219, 0.0000)  8 O 2.38-2.64
La (0.3219, 0.8219, 0.0000)  8 O 2.38-2.64
La (0.6781, 0.1781, 0.0000)  8 O 2.38-2.64
La (0.8219, 0.6781, 0.0000)  8 O 2.38-2.64
Tl (0.0000, 0.0000, 0.5000)  10 O 2.94-3.10
Tl (0.5000, 0.5000, 0.5000)  10 O 2.94-3.10
Zn (0.0000, 0.5000, 0.5000)  4 O 1.97
Zn (0.5000, 0.0000, 0.5000)  4 O 1.97
O (0.0000, 0.0000, 0.0000)  4 La 2.57
O (0.1320, 0.6320, 0.2499)  1 Zn 1.97
O (0.1320, 0.6320, 0.7501)  1 Zn 1.97
O (0.3680, 0.1320, 0.2499)  1 Zn 1.97
O (0.3680, 0.1320, 0.7501)  1 Zn 1.97
O (0.5000, 0.5000, 0.0000)  4 La 2.57
O (0.6320, 0.8680, 0.2499)  1 Zn 1.97
O (0.6320, 0.8680, 0.7501)  1 Zn 1.97
O (0.8680, 0.3680, 0.2499)  1 Zn 1.97
O (0.8680, 0.3680, 0.7501)  1 Zn 1.97


LaZr2TlO: optimized geometry, GGA-PBE.

The calculation puts the density of states at the Fermi level at 6.12 states/eV per cell. Its space-group type is P4/mmm (123). The uncorrected formation energy is -5.12 eV/f.u.

abc: 4.5783 4.5783 5.0956
angles: 90.00 90.00 90.00
Last column: nearest neighbours and their distance in Å.
Element x y z (fractional)
La (0.0000, 0.0000, 0.0000)  2 O 2.55
Zr (0.0000, 0.5000, 0.5000)  2 O 2.29
Zr (0.5000, 0.0000, 0.5000)  2 O 2.29
Tl (0.5000, 0.5000, 0.0000)  4 La 3.24, 8 Zr 3.43
O (0.0000, 0.0000, 0.5000)  4 Zr 2.29, 2 La 2.55


La3Tm5O12: optimized geometry, GGA-PBE.

The calculation puts the density of states at the Fermi level at 0.00 states/eV per cell. Its space-group type is Ia-3d (230). The uncorrected formation energy is -69.49 eV/f.u.

abc: 11.8282 11.8282 11.8282
angles: 109.47 109.47 109.47
Last column: nearest neighbours and their distance in Å.
Element x y z (fractional)
La (0.1250, 0.2500, 0.3750)  8 O 2.57-2.65
La (0.1250, 0.3750, 0.7500)  8 O 2.57-2.65
La (0.2500, 0.3750, 0.1250)  8 O 2.57-2.65
La (0.2500, 0.8750, 0.6250)  8 O 2.57-2.65
La (0.3750, 0.1250, 0.2500)  8 O 2.57-2.65
La (0.3750, 0.7500, 0.1250)  8 O 2.57-2.65
La (0.6250, 0.2500, 0.8750)  8 O 2.57-2.65
La (0.6250, 0.8750, 0.7500)  8 O 2.57-2.65
La (0.7500, 0.1250, 0.3750)  8 O 2.57-2.65
La (0.7500, 0.6250, 0.8750)  8 O 2.57-2.65
La (0.8750, 0.6250, 0.2500)  8 O 2.57-2.65
La (0.8750, 0.7500, 0.6250)  8 O 2.57-2.65
Tm (0.0000, 0.0000, 0.0000)  6 O 2.25
Tm (0.0000, 0.0000, 0.5000)  6 O 2.25
Tm (0.0000, 0.5000, 0.0000)  6 O 2.25
Tm (0.0000, 0.5000, 0.5000)  6 O 2.25
Tm (0.1250, 0.7500, 0.8750)  4 O 2.09
Tm (0.1250, 0.8750, 0.2500)  4 O 2.09
Tm (0.2500, 0.1250, 0.8750)  4 O 2.09
Tm (0.2500, 0.6250, 0.3750)  4 O 2.09
Tm (0.3750, 0.2500, 0.6250)  4 O 2.09
Tm (0.3750, 0.6250, 0.7500)  4 O 2.09
Tm (0.5000, 0.0000, 0.0000)  6 O 2.25
Tm (0.5000, 0.0000, 0.5000)  6 O 2.25
Tm (0.5000, 0.5000, 0.0000)  6 O 2.25
Tm (0.5000, 0.5000, 0.5000)  6 O 2.25
Tm (0.6250, 0.3750, 0.2500)  4 O 2.09
Tm (0.6250, 0.7500, 0.3750)  4 O 2.09
Tm (0.7500, 0.3750, 0.6250)  4 O 2.09
Tm (0.7500, 0.8750, 0.1250)  4 O 2.09
Tm (0.8750, 0.1250, 0.7500)  4 O 2.09
Tm (0.8750, 0.2500, 0.1250)  4 O 2.09
O (0.0358, 0.2111, 0.1281)  2 Tm 2.09-2.25
O (0.0358, 0.3247, 0.9077)  2 Tm 2.09-2.25
O (0.0830, 0.7111, 0.6753)  2 Tm 2.09-2.25
O (0.0830, 0.8719, 0.4077)  2 Tm 2.09-2.25
O (0.0923, 0.6281, 0.4170)  2 Tm 2.09-2.25
O (0.0923, 0.9642, 0.6753)  2 Tm 2.09-2.25
O (0.1281, 0.0358, 0.2111)  2 Tm 2.09-2.25
O (0.1281, 0.5923, 0.9170)  2 Tm 2.09-2.25
O (0.1753, 0.2111, 0.5830)  2 Tm 2.09-2.25
O (0.1753, 0.4642, 0.5923)  2 Tm 2.09-2.25
O (0.2111, 0.1281, 0.0358)  2 Tm 2.09-2.25
O (0.2111, 0.5830, 0.1753)  2 Tm 2.09-2.25
O (0.2889, 0.3247, 0.9170)  2 Tm 2.09-2.25
O (0.2889, 0.4642, 0.3719)  2 Tm 2.09-2.25
O (0.3247, 0.9077, 0.0358)  2 Tm 2.09-2.25
O (0.3247, 0.9170, 0.2889)  2 Tm 2.09-2.25
O (0.3719, 0.2889, 0.4642)  2 Tm 2.09-2.25
O (0.3719, 0.5830, 0.9077)  2 Tm 2.09-2.25
O (0.4077, 0.0830, 0.8719)  2 Tm 2.09-2.25
O (0.4077, 0.8247, 0.5358)  2 Tm 2.09-2.25
O (0.4170, 0.0923, 0.6281)  2 Tm 2.09-2.25
O (0.4170, 0.8247, 0.7889)  2 Tm 2.09-2.25
O (0.4642, 0.3719, 0.2889)  2 Tm 2.09-2.25
O (0.4642, 0.5923, 0.1753)  2 Tm 2.09-2.25
O (0.5358, 0.4077, 0.8247)  2 Tm 2.09-2.25
O (0.5358, 0.6281, 0.7111)  2 Tm 2.09-2.25
O (0.5830, 0.1753, 0.2111)  2 Tm 2.09-2.25
O (0.5830, 0.9077, 0.3719)  2 Tm 2.09-2.25
O (0.5923, 0.1753, 0.4642)  2 Tm 2.09-2.25
O (0.5923, 0.9170, 0.1281)  2 Tm 2.09-2.25
O (0.6281, 0.4170, 0.0923)  2 Tm 2.09-2.25
O (0.6281, 0.7111, 0.5358)  2 Tm 2.09-2.25
O (0.6753, 0.0830, 0.7111)  2 Tm 2.09-2.25
O (0.6753, 0.0923, 0.9642)  2 Tm 2.09-2.25
O (0.7111, 0.5358, 0.6281)  2 Tm 2.09-2.25
O (0.7111, 0.6753, 0.0830)  2 Tm 2.09-2.25
O (0.7889, 0.4170, 0.8247)  2 Tm 2.09-2.25
O (0.7889, 0.8719, 0.9642)  2 Tm 2.09-2.25
O (0.8247, 0.5358, 0.4077)  2 Tm 2.09-2.25
O (0.8247, 0.7889, 0.4170)  2 Tm 2.09-2.25
O (0.8719, 0.4077, 0.0830)  2 Tm 2.09-2.25
O (0.8719, 0.9642, 0.7889)  2 Tm 2.09-2.25
O (0.9077, 0.0358, 0.3247)  2 Tm 2.09-2.25
O (0.9077, 0.3719, 0.5830)  2 Tm 2.09-2.25
O (0.9170, 0.1281, 0.5923)  2 Tm 2.09-2.25
O (0.9170, 0.2889, 0.3247)  2 Tm 2.09-2.25
O (0.9642, 0.6753, 0.0923)  2 Tm 2.09-2.25
O (0.9642, 0.7889, 0.8719)  2 Tm 2.09-2.25


LaTmO4: optimized geometry, GGA-PBE.

The calculation puts the density of states at the Fermi level at 0.00 states/eV per cell. Its space-group type is Cm (8). The uncorrected formation energy is -17.65 eV/f.u.

abc: 6.6771 3.9474 6.4371
angles: 90.00 97.87 90.00
Last column: nearest neighbours and their distance in Å.
Element x y z (fractional)
La (0.0000, 0.0000, 0.0000)  7 O 2.36-2.62
La (0.5000, 0.5000, 0.0000)  7 O 2.36-2.62
Tm (0.3939, 0.0000, 0.4604)  7 O 2.24-2.45
Tm (0.8939, 0.5000, 0.4604)  7 O 2.24-2.45
O (0.0525, 0.0000, 0.3898)  3 Tm 2.26-2.31, 1 La 2.49
O (0.1220, 0.5000, 0.7817)  1 O 1.51
O (0.2878, 0.5000, 0.6441)  1 O 1.51
O (0.3528, 0.0000, 0.1099)  1 Tm 2.24, 3 La 2.36-2.37
O (0.5525, 0.5000, 0.3898)  3 Tm 2.26-2.31, 1 La 2.49
O (0.6220, 0.0000, 0.7817)  1 O 1.51
O (0.7878, 0.0000, 0.6441)  1 O 1.51
O (0.8528, 0.5000, 0.1099)  1 Tm 2.24, 3 La 2.36-2.37


La3TmO: optimized geometry, GGA-PBE.

The calculation puts the density of states at the Fermi level at 3.73 states/eV per cell. Its space-group type is Pm-3m (221). The uncorrected formation energy is -5.74 eV/f.u.

abc: 5.1663 5.1663 5.1663
angles: 90.00 90.00 90.00
Last column: nearest neighbours and their distance in Å.
Element x y z (fractional)
La (0.0000, 0.0000, 0.5000)  2 O 2.58
La (0.0000, 0.5000, 0.0000)  2 O 2.58
La (0.5000, 0.0000, 0.0000)  2 O 2.58
Tm (0.5000, 0.5000, 0.5000)  12 La 3.65
O (0.0000, 0.0000, 0.0000)  6 La 2.58


LaTmO: optimized geometry, GGA-PBE.

The calculation puts the density of states at the Fermi level at 6.43 states/eV per cell. For the energy above the most stable polymorph in this dataset, the calculation gives 0.00 eV per formula unit. Its space-group type is Cmc2_1 (36). The uncorrected formation energy is -5.35 eV/f.u.

abc: 3.5436 6.1468 12.3136
angles: 90.00 90.00 90.00
Last column: nearest neighbours and their distance in Å.
Element x y z (fractional)
La (0.0000, 0.0027, 0.0000)  3 O 2.73
La (0.0000, 0.9973, 0.5000)  3 O 2.73
La (0.5000, 0.4973, 0.5000)  3 O 2.73
La (0.5000, 0.5027, 0.0000)  3 O 2.73
Tm (0.0000, 0.3303, 0.2684)  3 O 2.30
Tm (0.0000, 0.6697, 0.7684)  3 O 2.30
Tm (0.5000, 0.1697, 0.7684)  3 O 2.30
Tm (0.5000, 0.8303, 0.2684)  3 O 2.30
O (0.0000, 0.3366, 0.8533)  3 Tm 2.30
O (0.0000, 0.6634, 0.3533)  3 Tm 2.30
O (0.5000, 0.1634, 0.3533)  3 Tm 2.30
O (0.5000, 0.8366, 0.8533)  3 Tm 2.30


La2TmO4: optimized geometry, GGA-PBE.

The calculation puts the density of states at the Fermi level at 4.04 states/eV per cell. Its space-group type is C2/m (12). The uncorrected formation energy is -22.23 eV/f.u.

abc: 11.8898 3.5219 6.2352
angles: 90.00 118.13 90.00
Last column: nearest neighbours and their distance in Å.
Element x y z (fractional)
La (0.1894, 0.0000, 0.1961)  4 O 2.38-2.61
La (0.3106, 0.5000, 0.8039)  4 O 2.38-2.61
La (0.6894, 0.5000, 0.1961)  4 O 2.38-2.61
La (0.8106, 0.0000, 0.8039)  4 O 2.38-2.61
Tm (0.0000, 0.5000, 0.5000)  6 O 2.23-2.34
Tm (0.5000, 0.0000, 0.5000)  6 O 2.23-2.34
O (0.1205, 0.5000, 0.9039)  1 Tm 2.23, 2 La 2.38
O (0.1340, 0.0000, 0.5175)  2 Tm 2.34, 1 La 2.39
O (0.3660, 0.5000, 0.4825)  2 Tm 2.34, 1 La 2.39
O (0.3795, 0.0000, 0.0961)  1 Tm 2.23, 2 La 2.38
O (0.6205, 0.0000, 0.9039)  1 Tm 2.23, 2 La 2.38
O (0.6340, 0.5000, 0.5175)  2 Tm 2.34, 1 La 2.39
O (0.8660, 0.0000, 0.4825)  2 Tm 2.34, 1 La 2.39
O (0.8795, 0.5000, 0.0961)  1 Tm 2.23, 2 La 2.38


La3TmO6: optimized geometry, GGA-PBE.

The calculation puts the density of states at the Fermi level at 0.00 states/eV per cell. Its space-group type is R-3 (148). The uncorrected formation energy is -35.08 eV/f.u.

abc: 7.0409 7.0409 7.0409
angles: 91.98 91.98 91.98
Last column: nearest neighbours and their distance in Å.
Element x y z (fractional)
La (0.0574, 0.5640, 0.7525)  6 O 2.38-2.53
La (0.2475, 0.9426, 0.4360)  6 O 2.38-2.53
La (0.4360, 0.2475, 0.9426)  6 O 2.38-2.53
La (0.5640, 0.7525, 0.0574)  6 O 2.38-2.53
La (0.7525, 0.0574, 0.5640)  6 O 2.38-2.53
La (0.9426, 0.4360, 0.2475)  6 O 2.38-2.53
Tm (0.0000, 0.0000, 0.0000)  6 O 2.25
Tm (0.5000, 0.5000, 0.5000)  6 O 2.28
O (0.0362, 0.9065, 0.6955)  1 Tm 2.25, 3 La 2.41-2.47
O (0.0935, 0.3045, 0.9638)  1 Tm 2.25, 3 La 2.41-2.47
O (0.1952, 0.5847, 0.4370)  1 Tm 2.28, 3 La 2.38-2.53
O (0.3045, 0.9638, 0.0935)  1 Tm 2.25, 3 La 2.41-2.47
O (0.4153, 0.5630, 0.8048)  1 Tm 2.28, 3 La 2.38-2.53
O (0.4370, 0.1952, 0.5847)  1 Tm 2.28, 3 La 2.38-2.53
O (0.5630, 0.8048, 0.4153)  1 Tm 2.28, 3 La 2.38-2.53
O (0.5847, 0.4370, 0.1952)  1 Tm 2.28, 3 La 2.38-2.53
O (0.6955, 0.0362, 0.9065)  1 Tm 2.25, 3 La 2.41-2.47
O (0.8048, 0.4153, 0.5630)  1 Tm 2.28, 3 La 2.38-2.53
O (0.9065, 0.6955, 0.0362)  1 Tm 2.25, 3 La 2.41-2.47
O (0.9638, 0.0935, 0.3045)  1 Tm 2.25, 3 La 2.41-2.47


LaTm3O: optimized geometry, GGA-PBE.

The calculation puts the density of states at the Fermi level at 8.74 states/eV per cell. Its space-group type is Pm-3m (221). The uncorrected formation energy is -5.13 eV/f.u.

abc: 4.9326 4.9326 4.9326
angles: 90.00 90.00 90.00
Last column: nearest neighbours and their distance in Å.
Element x y z (fractional)
La (0.0000, 0.0000, 0.0000)  12 Tm 3.49
Tm (0.0000, 0.5000, 0.5000)  2 O 2.47
Tm (0.5000, 0.0000, 0.5000)  2 O 2.47
Tm (0.5000, 0.5000, 0.0000)  2 O 2.47
O (0.5000, 0.5000, 0.5000)  6 Tm 2.47